Entry 1:
Below is a relaxed Li6AgPb crystal, with properties calculated at the PBE level.

The value obtained for the total magnetic moment is 0.000 Bohr magnetons per cell. For the formation energy, the calculation gives -0.1904 eV/atom. The value obtained for the excess energy over the best structure of this formula in the dataset is 22.9 meV per atom. The crystal system is tetragonal.

The structure belongs to space group P4/mmm (No. 123); the cell edges are 4.2730, 4.2730 and 7.9643 Å and the angles 90.00°, 90.00° and 90.00°. The asymmetric unit holds Li at (0.0000, 0.0000, 0.0000), Li at (0.0000, 0.0000, 0.5000), Li at (0.0000, 0.5000, 0.2372), Ag at (0.5000, 0.5000, 0.0000) and Pb at (0.5000, 0.5000, 0.5000).

Entry 2:
Below is a relaxed Li6Ag8Pb crystal, with properties calculated at the PBE level.

The value obtained for the total magnetic moment is 0.000 Bohr magnetons per cell. For the formation energy, the calculation gives -0.0872 eV/atom. The crystal system is trigonal.

The structure belongs to space group R-3 (No. 148, hexagonal axes); the cell edges are 7.7001, 7.7001 and 16.2015 Å and the angles 90.00°, 90.00° and 120.00°. The asymmetric unit holds Li at (0.0047, 0.2594, 0.3774), Ag at (0.0000, 0.0000, 0.2458), Ag at (0.0113, 0.7064, 0.1266) and Pb at (0.0000, 0.0000, 0.0000).

Entry 3:
Below is a relaxed Li6Ag6Pb crystal, with properties calculated at the PBE level.

The value obtained for the total magnetic moment is 0.000 Bohr magnetons per cell. For the formation energy, the calculation gives -0.1577 eV/atom. The crystal system is hexagonal.

The structure belongs to space group P6/mmm (No. 191); the cell edges are 5.5546, 5.5546 and 9.2437 Å and the angles 90.00°, 90.00° and 120.00°. The asymmetric unit holds Li at (0.0000, 0.0000, 0.1710), Li at (0.3333, 0.6667, 0.0000), Li at (0.3333, 0.6667, 0.5000), Ag at (0.0000, 0.5000, 0.2517) and Pb at (0.0000, 0.0000, 0.5000).

Entry 4:
Below is a relaxed Li4AgPb crystal, with properties calculated at the PBE level.

The value obtained for the total magnetic moment is 2.522 Bohr magnetons per cell. For the formation energy, the calculation gives -0.1000 eV/atom. The value obtained for the excess energy over the best structure of this formula in the dataset is 146.3 meV per atom. The crystal system is cubic.

The structure belongs to space group F-43m (No. 216); the cell edges are 7.5003, 7.5003 and 7.5003 Å and the angles 90.00°, 90.00° and 90.00°. The asymmetric unit holds Li at (0.1250, 0.1250, 0.1250), Ag at (0.0000, 0.0000, 0.5000) and Pb at (0.2500, 0.2500, 0.7500).

Entry 5:
Below is a relaxed Li5AgPb crystal, with properties calculated at the PBE level.

The value obtained for the total magnetic moment is 0.000 Bohr magnetons per cell. For the formation energy, the calculation gives -0.1878 eV/atom. The crystal system is monoclinic.

The structure belongs to space group C2/c (No. 15); the cell edges are 6.9940, 7.8786 and 9.9602 Å and the angles 90.00°, 110.04° and 90.00°. The asymmetric unit holds Li at (0.0000, 0.1102, 0.2500), Li at (0.1157, 0.4482, 0.1591), Li at (0.1660, 0.1034, 0.0336), Ag at (0.0000, 0.2392, 0.7500) and Pb at (0.2500, 0.2500, 0.5000).

Entry 6:
Below is a relaxed Li5Ag6Pb crystal, with properties calculated at the PBE level.

The value obtained for the total magnetic moment is 0.000 Bohr magnetons per cell. For the formation energy, the calculation gives -0.1757 eV/atom. The value obtained for the excess energy over the best structure of this formula in the dataset is 9.4 meV per atom. The crystal system is monoclinic.

The structure belongs to space group C2/m (No. 12); the cell edges are 4.6202, 13.9272 and 6.4866 Å and the angles 90.00°, 90.23° and 90.00°. The asymmetric unit holds Li at (0.0000, 0.0000, 0.0000), Li at (0.0000, 0.3350, 0.0000), Li at (0.0000, 0.3393, 0.5000), Ag at (0.0001, 0.1791, 0.2410), Ag at (0.0001, 0.5000, 0.2204) and Pb at (0.0000, 0.0000, 0.5000).

Entry 7:
Below is a relaxed Li4Ag2Pb3 crystal, with properties calculated at the PBE level.

The value obtained for the total magnetic moment is 0.000 Bohr magnetons per cell. For the formation energy, the calculation gives -0.1864 eV/atom. The value obtained for the excess energy over the best structure of this formula in the dataset is 11.8 meV per atom. The crystal system is monoclinic.

The structure belongs to space group C2/m (No. 12); the cell edges are 10.3822, 4.7460 and 8.8061 Å and the angles 90.00°, 120.44° and 90.00°. The asymmetric unit holds Li at (0.0410, 0.0000, 0.3627), Li at (0.1789, 0.5000, 0.0257), Ag at (0.1613, 0.5000, 0.3291), Pb at (0.0000, 0.0000, 0.0000) and Pb at (0.1602, 0.5000, 0.6783).

Entry 8:
Below is a relaxed Li5Ag6Pb crystal, with properties calculated at the PBE level.

The value obtained for the total magnetic moment is 0.000 Bohr magnetons per cell. For the formation energy, the calculation gives -0.1851 eV/atom. The value obtained for the excess energy over the best structure of this formula in the dataset is 0.0 meV per atom. The crystal system is orthorhombic.

The structure belongs to space group Immm (No. 71); the cell edges are 4.5183, 6.7670 and 13.5536 Å and the angles 90.00°, 90.00° and 90.00°. The asymmetric unit holds Li at (0.0000, 0.0000, 0.0000), Li at (0.0000, 0.0000, 0.3438), Li at (0.0000, 0.5000, 0.3253), Ag at (0.0000, 0.2269, 0.1757), Ag at (0.0000, 0.2864, 0.5000) and Pb at (0.0000, 0.5000, 0.0000).

Entry 9:
Below is a relaxed Li5Ag4Pb2 crystal, with properties calculated at the PBE level.

The value obtained for the total magnetic moment is 0.000 Bohr magnetons per cell. For the formation energy, the calculation gives -0.1501 eV/atom. The crystal system is monoclinic.

The structure belongs to space group C2/m (No. 12); the cell edges are 9.8318, 5.9855 and 8.0318 Å and the angles 90.00°, 118.31° and 90.00°. The asymmetric unit holds Li at (0.0000, 0.0000, 0.0000), Li at (0.1704, 0.2766, 0.6707), Ag at (0.0677, 0.0000, 0.3636), Ag at (0.2366, 0.5000, 0.0285) and Pb at (0.0768, 0.5000, 0.2810).

Entry 10:
Below is a relaxed LiAg3Pb crystal, with properties calculated at the PBE level.

The value obtained for the total magnetic moment is 0.000 Bohr magnetons per cell. For the formation energy, the calculation gives 0.2505 eV/atom. The value obtained for the excess energy over the best structure of this formula in the dataset is 318.9 meV per atom. The crystal system is cubic.

The structure belongs to space group Pm-3m (No. 221); the cell edges are 4.7096, 4.7096 and 4.7096 Å and the angles 90.00°, 90.00° and 90.00°. The asymmetric unit holds Li at (0.0000, 0.0000, 0.0000), Ag at (0.0000, 0.0000, 0.5000) and Pb at (0.5000, 0.5000, 0.5000).

Entry 11:
Below is a relaxed Li12Ag6Pb crystal, with properties calculated at the PBE level.

The value obtained for the total magnetic moment is 0.000 Bohr magnetons per cell. For the formation energy, the calculation gives -0.1355 eV/atom. The crystal system is trigonal.

The structure belongs to space group R-3 (No. 148, hexagonal axes); the cell edges are 10.0186, 10.0186 and 12.1068 Å and the angles 90.00°, 90.00° and 120.00°. The asymmetric unit holds Li at (0.0322, 0.1905, 0.3122), Li at (0.0577, 0.8385, 0.9144), Ag at (0.0085, 0.4240, 0.2040) and Pb at (0.0000, 0.0000, 0.5000).

Entry 12:
Below is a relaxed LiAg2Pb2 crystal, with properties calculated at the PBE level.

The value obtained for the total magnetic moment is 0.000 Bohr magnetons per cell. For the formation energy, the calculation gives 0.0520 eV/atom. The value obtained for the excess energy over the best structure of this formula in the dataset is 121.7 meV per atom. The crystal system is tetragonal.

The structure belongs to space group P4/mbm (No. 127); the cell edges are 8.2656, 8.2656 and 3.5993 Å and the angles 90.00°, 90.00° and 90.00°. The asymmetric unit holds Li at (0.0000, 0.0000, 0.0000), Ag at (0.1361, 0.3639, 0.5000) and Pb at (0.1604, 0.6604, 0.0000).

Question: Which value of total magnetic moment does entry 9 give?
Answer: 0.000 Bohr magnetons per cell

Question: Look up the total magnetic moment of the first one.
Answer: 0.000 Bohr magnetons per cell

Question: What is the total magnetic moment in the first record?
Answer: 0.000 Bohr magnetons per cell